[1]
BaTc2IrC at its PBEsol-relaxed geometry. Source: Alexandria via LeMat-Bulk, functional SCAN.

Cell lengths 4.851, 4.851, 4.270 Å; angles 90.00, 90.00, 90.00 degrees
Space group P4/mmm (No. 123)
Symmetry-distinct sites (fractional):
Ba1 0.000 0.000 0.000
Tc1 0.000 0.500 0.000
Ir1 0.500 0.500 0.500
C1 0.000 0.000 0.500

Output
- energy of formation (eV per formula unit) = 19.4

[2]
NiAs2Rh at its PBEsol-relaxed geometry. Source: Alexandria via LeMat-Bulk, functional SCAN.

Cell lengths 3.357, 3.357, 5.114 Å; angles 90.00, 90.00, 90.00 degrees
Space group P4mm (No. 99)
Symmetry-distinct sites (fractional):
Ni1 0.000 0.000 0.000
As1 0.000 0.000 0.485
As2 0.500 0.500 0.859
Rh1 0.500 0.500 0.328

Output
- energy of formation (eV per formula unit) = -1.1

[3]
YMg2Hg at its PBEsol-relaxed geometry. Source: Alexandria via LeMat-Bulk, functional SCAN.

Cell lengths 4.163, 4.592, 4.845 Å; angles 90.00, 90.00, 90.00 degrees
Space group Pmmm (No. 47)
Symmetry-distinct sites (fractional):
Y1 0.000 0.000 0.000
Mg1 0.000 0.500 0.500
Mg2 0.500 0.000 0.500
Hg1 0.500 0.500 0.000

Output
- energy of formation (eV per formula unit) = -1.5

[4]
RuPt2 at its PBEsol-relaxed geometry. Source: Alexandria via LeMat-Bulk, functional SCAN.

Cell lengths 2.725, 3.867, 8.182 Å; angles 90.00, 90.00, 90.00 degrees
Space group Immm (No. 71)
Symmetry-distinct sites (fractional):
Ru1 0.000 0.000 0.000
Pt1 0.000 0.000 0.336

Output
- energy of formation (eV per formula unit) = 0.0

> energy of formation of number 2 (NiAs2Rh)?

-1.1 eV per formula unit

What did the fourth record say?
RuPt2 at its PBEsol-relaxed geometry. Source: Alexandria via LeMat-Bulk, functional SCAN.

Cell lengths 2.725, 3.867, 8.182 Å; angles 90.00, 90.00, 90.00 degrees
Space group Immm (No. 71)
Symmetry-distinct sites (fractional):
Ru1 0.000 0.000 0.000
Pt1 0.000 0.000 0.336

Output
- energy of formation (eV per formula unit) = 0.0

> Which value of energy of formation does entry 4 give?

0.0 eV per formula unit

> What is the energy of formation in the third record?

-1.5 eV per formula unit